Entry 1:
The following is a GGA-PBE calculation of a relaxed Dy3AgHg2 crystal, from the Alexandria database.

## Properties
Energy above the lowest structure with this stoichiometry = 3 meV/atom
ΔE_f = -0.43 eV per atom
Raw total energy = -3.30 eV per atom

Unit cell a=3.690 b=3.690 c=11.094 alpha=90.00 beta=90.00 gamma=90.00
Element x y z (fractional)
Dy (0.000, 0.000, 0.000)
Dy (0.000, 0.000, 0.662)
Dy (0.000, 0.000, 0.338)
Ag (0.500, 0.500, 0.500)
Hg (0.500, 0.500, 0.832)
Hg (0.500, 0.500, 0.168)

Entry 2:
The following is a GGA-PBE calculation of a relaxed Dy5Ag4Hg crystal, from the Alexandria database.

## Properties
ΔE_f = -0.36 eV per atom
Raw total energy = -3.83 eV per atom

Unit cell a=3.645 b=3.645 c=18.327 alpha=90.00 beta=90.00 gamma=90.00
Element x y z (fractional)
Dy (0.500, 0.500, 0.103)
Dy (0.500, 0.500, 0.301)
Dy (0.500, 0.500, 0.500)
Dy (0.500, 0.500, 0.699)
Dy (0.500, 0.500, 0.897)
Ag (0.000, 0.000, 0.202)
Ag (0.000, 0.000, 0.401)
Ag (0.000, 0.000, 0.599)
Ag (0.000, 0.000, 0.798)
Hg (0.000, 0.000, 0.000)

Entry 3:
The following is a GGA-PBE calculation of a relaxed Dy3AgHg3 crystal, from the Alexandria database.

## Properties
ΔE_f = -0.29 eV per atom
Raw total energy = -2.80 eV per atom

Unit cell a=7.212 b=7.212 c=7.026 alpha=90.92 beta=90.92 gamma=88.51
Element x y z (fractional)
Dy (0.082, 0.082, 0.768)
Dy (0.437, 0.049, 0.247)
Dy (0.049, 0.437, 0.247)
Dy (0.563, 0.951, 0.753)
Dy (0.951, 0.563, 0.753)
Dy (0.918, 0.918, 0.232)
Ag (0.356, 0.356, 0.960)
Ag (0.644, 0.644, 0.040)
Hg (0.350, 0.350, 0.557)
Hg (0.234, 0.766, 0.500)
Hg (0.766, 0.234, 0.500)
Hg (0.251, 0.749, 0.000)
Hg (0.749, 0.251, 0.000)
Hg (0.650, 0.650, 0.443)

Entry 4:
The following is a GGA-PBE calculation of a relaxed Dy4AgHg3 crystal, from the Alexandria database.

## Properties
Energy above the lowest structure with this stoichiometry = 44 meV/atom
ΔE_f = -0.40 eV per atom
Raw total energy = -3.17 eV per atom

Unit cell a=3.758 b=4.820 c=11.485 alpha=90.00 beta=90.00 gamma=90.00
Element x y z (fractional)
Dy (0.500, 0.500, 0.349)
Dy (0.000, 0.500, 0.857)
Dy (0.000, 0.000, 0.144)
Dy (0.500, 0.000, 0.649)
Ag (0.500, 0.500, 0.082)
Hg (0.000, 0.500, 0.586)
Hg (0.000, 0.000, 0.413)
Hg (0.500, 0.000, 0.919)

Entry 5:
The following is a GGA-PBE calculation of a relaxed Dy11Ag4Hg9 crystal, from the Alexandria database.

## Properties
ΔE_f = -0.41 eV per atom
Raw total energy = -3.10 eV per atom

Unit cell a=3.740 b=13.164 c=13.164 alpha=112.35 beta=90.00 gamma=90.00
Element x y z (fractional)
Dy (0.000, 0.586, 0.929)
Dy (0.000, 0.414, 0.071)
Dy (0.000, 0.929, 0.586)
Dy (0.000, 0.071, 0.414)
Dy (0.000, 0.643, 0.357)
Dy (0.000, 0.357, 0.643)
Dy (0.000, 0.831, 0.169)
Dy (0.000, 0.169, 0.831)
Dy (0.000, 0.000, 0.000)
Dy (0.000, 0.730, 0.730)
Dy (0.000, 0.270, 0.270)
Ag (0.500, 0.552, 0.740)
Ag (0.500, 0.448, 0.260)
Ag (0.500, 0.740, 0.552)
Ag (0.500, 0.260, 0.448)
Hg (0.500, 0.628, 0.149)
Hg (0.500, 0.372, 0.851)
Hg (0.500, 0.149, 0.628)
Hg (0.500, 0.851, 0.372)
Hg (0.500, 0.790, 0.948)
Hg (0.500, 0.210, 0.052)
Hg (0.500, 0.948, 0.790)
Hg (0.500, 0.052, 0.210)
Hg (0.500, 0.500, 0.500)

Entry 6:
The following is a GGA-PBE calculation of a relaxed Dy2Ag5Hg3 crystal, from the Alexandria database.

## Properties
ΔE_f = -0.11 eV per atom
Raw total energy = -2.55 eV per atom

Unit cell a=5.778 b=9.369 c=9.369 alpha=93.01 beta=72.04 gamma=72.04
Element x y z (fractional)
Dy (0.125, 0.632, 0.118)
Dy (0.625, 0.118, 0.632)
Dy (0.875, 0.368, 0.882)
Dy (0.375, 0.882, 0.368)
Ag (0.366, 0.282, 0.987)
Ag (0.866, 0.987, 0.282)
Ag (0.634, 0.718, 0.013)
Ag (0.134, 0.013, 0.718)
Ag (0.504, 0.746, 0.746)
Ag (0.496, 0.254, 0.254)
Ag (0.750, 0.500, 0.500)
Ag (0.250, 0.500, 0.500)
Ag (0.996, 0.254, 0.254)
Ag (0.004, 0.746, 0.746)
Hg (0.379, 0.471, 0.772)
Hg (0.879, 0.772, 0.471)
Hg (0.621, 0.529, 0.228)
Hg (0.121, 0.228, 0.529)
Hg (0.250, 0.000, 0.000)
Hg (0.750, 0.000, 0.000)

Entry 7:
The following is a GGA-PBE calculation of a relaxed Dy4Ag3Hg crystal, from the Alexandria database.

## Properties
Energy above the lowest structure with this stoichiometry = 39 meV/atom
ΔE_f = -0.32 eV per atom
Raw total energy = -3.73 eV per atom

Unit cell a=3.680 b=4.851 c=11.247 alpha=90.00 beta=90.00 gamma=90.00
Element x y z (fractional)
Dy (0.500, 0.500, 0.360)
Dy (0.000, 0.500, 0.850)
Dy (0.000, 0.000, 0.148)
Dy (0.500, 0.000, 0.642)
Ag (0.000, 0.500, 0.580)
Ag (0.000, 0.000, 0.421)
Ag (0.500, 0.000, 0.917)
Hg (0.500, 0.500, 0.083)

Entry 8:
The following is a GGA-PBE calculation of a relaxed DyAg2Hg2 crystal, from the Alexandria database.

## Properties
Energy above the lowest structure with this stoichiometry = 0 meV/atom
ΔE_f = -0.22 eV per atom
Raw total energy = -2.40 eV per atom

Unit cell a=5.041 b=5.626 c=8.478 alpha=64.37 beta=90.00 gamma=90.00
Element x y z (fractional)
Dy (0.750, 0.043, 0.714)
Dy (0.250, 0.957, 0.286)
Ag (0.750, 0.431, 0.928)
Ag (0.250, 0.730, 0.695)
Ag (0.250, 0.569, 0.072)
Ag (0.750, 0.270, 0.305)
Hg (0.250, 0.328, 0.477)
Hg (0.750, 0.828, 0.117)
Hg (0.250, 0.172, 0.883)
Hg (0.750, 0.672, 0.523)

Entry 9:
The following is a GGA-PBE calculation of a relaxed Dy4Ag2Hg crystal, from the Alexandria database.

## Properties
Energy above the lowest structure with this stoichiometry = 0 meV/atom
ΔE_f = -0.21 eV per atom
Raw total energy = -3.70 eV per atom

Unit cell a=5.138 b=5.138 c=8.761 alpha=72.95 beta=72.95 gamma=60.00
Element x y z (fractional)
Hg (0.000, 0.000, 0.000)
Ag (0.749, 0.749, 0.754)
Ag (0.251, 0.251, 0.246)
Dy (0.872, 0.872, 0.385)
Dy (0.128, 0.128, 0.615)
Dy (0.620, 0.620, 0.141)
Dy (0.380, 0.380, 0.859)

Entry 10:
The following is a GGA-PBE calculation of a relaxed Dy5Ag2Hg12 crystal, from the Alexandria database.

## Properties
ΔE_f = -0.25 eV per atom
Raw total energy = -1.96 eV per atom

Unit cell a=8.782 b=8.400 c=7.395 alpha=87.64 beta=90.00 gamma=121.52
Element x y z (fractional)
Dy (0.255, 0.510, 0.565)
Dy (0.322, 0.644, 0.045)
Dy (0.000, 0.000, 0.500)
Dy (0.678, 0.356, 0.955)
Dy (0.745, 0.490, 0.435)
Ag (0.729, 0.000, 0.000)
Ag (0.271, 0.000, 0.000)
Hg (0.888, 0.775, 0.089)
Hg (0.037, 0.674, 0.761)
Hg (0.637, 0.674, 0.761)
Hg (0.153, 0.764, 0.347)
Hg (0.611, 0.764, 0.347)
Hg (0.461, 0.922, 0.710)
Hg (0.539, 0.078, 0.290)
Hg (0.847, 0.236, 0.653)
Hg (0.389, 0.236, 0.653)
Hg (0.963, 0.326, 0.239)
Hg (0.363, 0.326, 0.239)
Hg (0.112, 0.225, 0.911)

Entry 11:
The following is a GGA-PBE calculation of a relaxed Dy4Ag3Hg crystal, from the Alexandria database.

## Properties
Energy above the lowest structure with this stoichiometry = 0 meV/atom
ΔE_f = -0.36 eV per atom
Raw total energy = -3.77 eV per atom

Unit cell a=3.650 b=3.650 c=14.689 alpha=90.00 beta=90.00 gamma=90.00
Element x y z (fractional)
Hg (0.500, 0.500, 0.000)
Ag (0.500, 0.500, 0.252)
Ag (0.500, 0.500, 0.500)
Ag (0.500, 0.500, 0.748)
Dy (0.000, 0.000, 0.872)
Dy (0.000, 0.000, 0.128)
Dy (0.000, 0.000, 0.375)
Dy (0.000, 0.000, 0.625)

Entry 12:
The following is a GGA-PBE calculation of a relaxed DyAgHg crystal, from the Alexandria database.

## Properties
ΔE_f = -0.34 eV per atom
Raw total energy = -2.92 eV per atom

Unit cell a=3.824 b=3.824 c=5.440 alpha=110.57 beta=110.57 gamma=90.00
Element x y z (fractional)
Hg (0.280, 0.280, 0.559)
Ag (0.620, 0.620, 0.239)
Dy (0.951, 0.951, 0.902)

Entry 13:
The following is a GGA-PBE calculation of a relaxed DyAg4Hg crystal, from the Alexandria database.

## Properties
ΔE_f = -0.16 eV per atom
Raw total energy = -2.88 eV per atom

Unit cell a=5.578 b=5.578 c=5.578 alpha=60.00 beta=60.00 gamma=60.00
Element x y z (fractional)
Hg (0.000, 0.000, 0.000)
Ag (0.625, 0.625, 0.125)
Ag (0.625, 0.125, 0.625)
Ag (0.625, 0.625, 0.625)
Ag (0.125, 0.625, 0.625)
Dy (0.250, 0.250, 0.250)

Entry 14:
The following is a GGA-PBE calculation of a relaxed DyAgHg6 crystal, from the Alexandria database.

## Properties
Energy above the lowest structure with this stoichiometry = 259 meV/atom
ΔE_f = 0.15 eV per atom
Raw total energy = -1.01 eV per atom

Unit cell a=6.142 b=6.142 c=8.611 alpha=69.11 beta=69.11 gamma=60.00
Element x y z (fractional)
Dy (0.000, 0.000, 0.000)
Ag (0.500, 0.500, 0.500)
Hg (0.068, 0.068, 0.308)
Hg (0.068, 0.556, 0.308)
Hg (0.444, 0.932, 0.692)
Hg (0.932, 0.444, 0.692)
Hg (0.932, 0.932, 0.692)
Hg (0.556, 0.068, 0.308)

Entry 15:
The following is a GGA-PBE calculation of a relaxed Dy2AgHg5 crystal, from the Alexandria database.

## Properties
Energy above the lowest structure with this stoichiometry = 61 meV/atom
ΔE_f = -0.17 eV per atom
Raw total energy = -1.87 eV per atom

Unit cell a=4.734 b=4.734 c=11.082 alpha=77.67 beta=77.67 gamma=60.00
Element x y z (fractional)
Dy (0.094, 0.094, 0.718)
Dy (0.906, 0.906, 0.282)
Ag (0.000, 0.000, 0.000)
Hg (0.500, 0.500, 0.500)
Hg (0.372, 0.372, 0.884)
Hg (0.628, 0.628, 0.116)
Hg (0.202, 0.202, 0.395)
Hg (0.798, 0.798, 0.605)

Entry 16:
The following is a GGA-PBE calculation of a relaxed Dy6AgHg crystal, from the Alexandria database.

## Properties
ΔE_f = -0.18 eV per atom
Raw total energy = -4.03 eV per atom

Unit cell a=9.541 b=9.541 c=9.541 alpha=149.19 beta=149.19 gamma=44.13
Element x y z (fractional)
Dy (0.250, 0.250, 0.000)
Dy (0.890, 0.390, 0.500)
Dy (0.390, 0.890, 0.500)
Dy (0.110, 0.610, 0.500)
Dy (0.750, 0.750, 0.000)
Dy (0.610, 0.110, 0.500)
Ag (0.000, 0.000, 0.000)
Hg (0.500, 0.500, 0.000)

Entry 17:
The following is a GGA-PBE calculation of a relaxed Dy6Ag2Hg crystal, from the Alexandria database.

## Properties
Energy above the lowest structure with this stoichiometry = 206 meV/atom
ΔE_f = 0.00 eV per atom
Raw total energy = -3.74 eV per atom

Unit cell a=5.033 b=7.165 c=8.729 alpha=114.23 beta=106.68 gamma=90.00
Element x y z (fractional)
Dy (0.168, 0.420, 0.337)
Dy (0.832, 0.083, 0.663)
Dy (0.832, 0.580, 0.663)
Dy (0.500, 0.254, 0.000)
Dy (0.168, 0.917, 0.337)
Dy (0.500, 0.746, 0.000)
Ag (0.667, 0.667, 0.334)
Ag (0.333, 0.333, 0.666)
Hg (0.000, 0.000, 0.000)

Entry 18:
The following is a GGA-PBE calculation of a relaxed Dy3AgHg2 crystal, from the Alexandria database.

## Properties
Energy above the lowest structure with this stoichiometry = 0 meV/atom
ΔE_f = -0.43 eV per atom
Raw total energy = -3.31 eV per atom

Unit cell a=5.219 b=5.219 c=12.797 alpha=90.00 beta=90.00 gamma=120.00
Element x y z (fractional)
Dy (0.333, 0.667, 0.417)
Dy (0.667, 0.333, 0.086)
Dy (0.000, 0.000, 0.747)
Dy (0.000, 0.000, 0.253)
Dy (0.333, 0.667, 0.914)
Dy (0.667, 0.333, 0.583)
Ag (0.333, 0.667, 0.665)
Ag (0.667, 0.333, 0.335)
Hg (0.000, 0.000, 0.500)
Hg (0.333, 0.667, 0.168)
Hg (0.667, 0.333, 0.832)
Hg (0.000, 0.000, 0.000)

Entry 19:
The following is a GGA-PBE calculation of a relaxed Dy3AgHg crystal, from the Alexandria database.

## Properties
Energy above the lowest structure with this stoichiometry = 0 meV/atom
ΔE_f = -0.30 eV per atom
Raw total energy = -3.69 eV per atom

Unit cell a=5.188 b=5.188 c=10.143 alpha=90.00 beta=75.18 gamma=90.00
Element x y z (fractional)
Dy (0.762, 0.250, 0.125)
Dy (0.388, 0.250, 0.873)
Dy (0.575, 0.250, 0.499)
Dy (0.261, 0.750, 0.127)
Dy (0.887, 0.750, 0.875)
Dy (0.074, 0.750, 0.501)
Ag (0.482, 0.750, 0.685)
Ag (0.167, 0.250, 0.315)
Hg (0.669, 0.750, 0.310)
Hg (0.979, 0.250, 0.690)

Entry 20:
The following is a GGA-PBE calculation of a relaxed Dy2AgHg2 crystal, from the Alexandria database.

## Properties
Energy above the lowest structure with this stoichiometry = 98 meV/atom
ΔE_f = -0.25 eV per atom
Raw total energy = -2.78 eV per atom

Unit cell a=5.958 b=6.735 c=7.827 alpha=115.48 beta=112.37 gamma=90.00
Element x y z (fractional)
Dy (0.335, 0.574, 0.670)
Dy (0.665, 0.426, 0.330)
Dy (0.165, 0.904, 0.330)
Dy (0.835, 0.096, 0.670)
Ag (0.750, 0.500, 0.000)
Ag (0.250, 0.500, 0.000)
Hg (0.904, 0.737, 0.808)
Hg (0.096, 0.263, 0.192)
Hg (0.596, 0.929, 0.192)
Hg (0.404, 0.071, 0.808)